# Dy2Er4In (PBE, optimized geometry)
data_Dy2Er4In
_space_group_name_H-M_alt 'F d d 2'
_space_group_IT_number 43
_space_group_name_Hall 'F 2 -2d'
_cell_length_a 10.151
_cell_length_b 21.688
_cell_length_c 7.796
_cell_angle_alpha 90.00
_cell_angle_beta 90.00
_cell_angle_gamma 90.00
loop_
_atom_site_label
_atom_site_fract_x
_atom_site_fract_y
_atom_site_fract_z
Dy1 0.035 0.262 0.000
Er1 0.008 0.081 0.425
Er2 0.039 0.384 0.346
In1 0.000 0.000 0.079
# Crystal system ... orthorhombic
# Relative energy among the computed polymorphs ... 0.000 eV/f.u.

***

# LaDy2ErIn4 (PBE, optimized geometry)
data_LaDy2ErIn4
_space_group_name_H-M_alt 'R -3 m'
_space_group_IT_number 166
_space_group_name_Hall '-R 3 2"'
_cell_length_a 5.3723
_cell_length_b 5.3723
_cell_length_c 26.4792
_cell_angle_alpha 90.00
_cell_angle_beta 90.00
_cell_angle_gamma 120.00
loop_
_atom_site_label
_atom_site_fract_x
_atom_site_fract_y
_atom_site_fract_z
La1 0.0000 0.0000 0.0000
Dy1 0.0000 0.0000 0.2493
Er1 0.0000 0.0000 0.5000
In1 0.0000 0.0000 0.1274
In2 0.0000 0.0000 0.3777
# Crystal system ... trigonal

***

# LaDyErIn (PBE, optimized geometry)
data_LaDyErIn
_space_group_name_H-M_alt 'F -4 3 m'
_space_group_IT_number 216
_space_group_name_Hall 'F -4 2 3'
_cell_length_a 7.746
_cell_length_b 7.746
_cell_length_c 7.746
_cell_angle_alpha 90.00
_cell_angle_beta 90.00
_cell_angle_gamma 90.00
loop_
_atom_site_label
_atom_site_fract_x
_atom_site_fract_y
_atom_site_fract_z
La1 0.000 0.000 0.000
Dy1 0.250 0.250 0.750
Er1 0.250 0.250 0.250
In1 0.000 0.000 0.500
# Crystal system ... cubic

***

# LiDy2ErIn4 (PBE, optimized geometry)
data_LiDy2ErIn4
_space_group_name_H-M_alt 'R -3 m'
_space_group_IT_number 166
_space_group_name_Hall '-R 3 2"'
_cell_length_a 5.1894
_cell_length_b 5.1894
_cell_length_c 25.9411
_cell_angle_alpha 90.00
_cell_angle_beta 90.00
_cell_angle_gamma 120.00
loop_
_atom_site_label
_atom_site_fract_x
_atom_site_fract_y
_atom_site_fract_z
Li1 0.0000 0.0000 0.0000
Dy1 0.0000 0.0000 0.2537
Er1 0.0000 0.0000 0.5000
In1 0.0000 0.0000 0.1233
In2 0.0000 0.0000 0.3738
# Crystal system ... trigonal

***

| no. | volume (Å³ per atom) | energy relative to the elements (eV/atom) | total moment (μB per formula unit) |
| --- | --- | --- | --- |
| 1 | 30.65 | -0.04 | 0.00 |
| 2 | 27.58 | -0.46 | 0.00 |
| 3 | 29.05 | -0.08 | 0.78 |
| 4 | 25.21 | -0.41 | 0.00 |